Entry from Alexandria: a relaxed structure of CaHoAlGa (GGA-PBE).

Cell lengths 7.2582, 7.2582, 7.2582 Å; angles 90.00, 90.00, 90.00 degrees
With the nearest neighbours (Å) after each atom.
Sites, in units of the cell vectors:
1 Ca 0.0000 0.0000 0.0000  4 Al 3.14, 4 Ga 3.14
2 Ca 0.0000 0.5000 0.5000  4 Al 3.14, 4 Ga 3.14
3 Ca 0.5000 0.0000 0.5000  4 Al 3.14, 4 Ga 3.14
4 Ca 0.5000 0.5000 0.0000  4 Al 3.14, 4 Ga 3.14
5 Ho 0.0000 0.0000 0.5000  4 Al 3.14, 4 Ga 3.14
6 Ho 0.0000 0.5000 0.0000  4 Al 3.14, 4 Ga 3.14
7 Ho 0.5000 0.0000 0.0000  4 Al 3.14, 4 Ga 3.14
8 Ho 0.5000 0.5000 0.5000  4 Al 3.14, 4 Ga 3.14
9 Al 0.2500 0.2500 0.7500  4 Ho 3.14, 4 Ca 3.14
10 Al 0.2500 0.7500 0.2500  4 Ho 3.14, 4 Ca 3.14
11 Al 0.7500 0.2500 0.2500  4 Ho 3.14, 4 Ca 3.14
12 Al 0.7500 0.7500 0.7500  4 Ho 3.14, 4 Ca 3.14
13 Ga 0.2500 0.2500 0.2500  4 Ho 3.14, 4 Ca 3.14
14 Ga 0.2500 0.7500 0.7500  4 Ho 3.14, 4 Ca 3.14
15 Ga 0.7500 0.2500 0.7500  4 Ho 3.14, 4 Ca 3.14
16 Ga 0.7500 0.7500 0.2500  4 Ho 3.14, 4 Ca 3.14

Calculated values
M_tot ... 0.00 μB per cell
Crystal system ... cubic
Formation energy ... -0.37 eV per atom


Entry from Alexandria: a relaxed structure of BeFe2P (GGA-PBE).

Cell lengths 2.6180, 2.6180, 20.8808 Å; angles 90.00, 90.00, 120.00 degrees
With the nearest neighbours (Å) after each atom.
Sites, in units of the cell vectors:
1 Be 0.0000 0.0000 0.0000  6 Fe 2.33
2 Be 0.3333 0.6667 0.6667  6 Fe 2.33
3 Be 0.6667 0.3333 0.3333  6 Fe 2.33
4 Fe 0.0000 0.0000 0.2482  3 P 2.28, 3 Be 2.33
5 Fe 0.0000 0.0000 0.7518  3 P 2.28, 3 Be 2.33
6 Fe 0.3333 0.6667 0.4184  3 P 2.28, 3 Be 2.33
7 Fe 0.3333 0.6667 0.9149  3 P 2.28, 3 Be 2.33
8 Fe 0.6667 0.3333 0.0851  3 P 2.28, 3 Be 2.33
9 Fe 0.6667 0.3333 0.5816  3 P 2.28, 3 Be 2.33
10 P 0.0000 0.0000 0.5000  6 Fe 2.28
11 P 0.3333 0.6667 0.1667  6 Fe 2.28
12 P 0.6667 0.3333 0.8333  6 Fe 2.28

Calculated values
M_tot ... 5.55 μB per cell
Crystal system ... trigonal
Formation energy ... -0.05 eV per atom